A plane-wave DFT calculation with GGA+U was carried out for Li2Cr2F after structural relaxation.

Cell: 6.1561 6.1561 5.0991 Å, 90.00 90.00 90.00°
With the nearest neighbours (Å) after each atom.
Sites, in units of the cell vectors:
Li 0.1584 0.3416 0.0000  1 Li 2.76, 2 Cr 2.95
Li 0.3416 0.8416 0.0000  1 Li 2.76, 2 Cr 2.95
Li 0.6584 0.1584 0.0000  1 Li 2.76, 2 Cr 2.95
Li 0.8416 0.6584 0.0000  1 Li 2.76, 2 Cr 2.95
Cr 0.1716 0.6716 0.5000  2 F 2.28
Cr 0.3284 0.1716 0.5000  2 F 2.28
Cr 0.6716 0.8284 0.5000  2 F 2.28
Cr 0.8284 0.3284 0.5000  2 F 2.28
F 0.0000 0.0000 0.5000  4 Cr 2.28
F 0.5000 0.5000 0.5000  4 Cr 2.28

Output
The calculated volume comes out at 193.2 Å³ per cell. The total energy is -4.3363 eV per atom. As for the space group: P4/mbm (127).